Record 1
Computed, not measured: a PBEsol-optimized structure of Cs3AsF6 at the meta-GGA SCAN level of DFT.

Lattice parameters (Å, degrees): 6.8013 6.8013 6.8013 60.00 60.00 60.00
Last column: nearest neighbours and their distance in Å.
Sites, in units of the cell vectors:
1 Cs 0.0000 0.0000 0.0000  6 F 2.76
2 Cs 0.2500 0.2500 0.2500  12 F 3.42
3 Cs 0.7500 0.7500 0.7500  12 F 3.42
4 As 0.5000 0.5000 0.5000  6 F 2.05
5 F 0.2865 0.2865 0.7135  1 As 2.05
6 F 0.2865 0.7135 0.2865  1 As 2.05
7 F 0.2865 0.7135 0.7135  1 As 2.05
8 F 0.7135 0.2865 0.2865  1 As 2.05
9 F 0.7135 0.2865 0.7135  1 As 2.05
10 F 0.7135 0.7135 0.2865  1 As 2.05

Summary:
- E_form (uncorrected) (meV/atom) = -2622
- space group = No. 225

***

Record 2
Computed, not measured: a PBEsol-optimized structure of TeP2Os at the meta-GGA SCAN level of DFT.

Lattice parameters (Å, degrees): 4.5450 4.5450 3.0523 90.00 90.00 90.00
Last column: nearest neighbours and their distance in Å.
Sites, in units of the cell vectors:
1 Te 0.0000 0.0000 0.0000  8 P 2.74, 2 Te 3.05
2 P 0.0000 0.5000 0.5000  4 Os 2.74, 4 Te 2.74, 2 P 3.05
3 P 0.5000 0.0000 0.5000  4 Os 2.74, 4 Te 2.74, 2 P 3.05
4 Os 0.5000 0.5000 0.0000  8 P 2.74, 2 Os 3.05

Summary:
- E_form (uncorrected) (meV/atom) = 1026
- space group = No. 123
- distance to the lowest polymorph of the same formula (meV per atom) = 1024

***

| no. | DFT total energy (eV per atom) |
| --- | --- |
| 1 | -18.109 |
| 2 | -31.456 |